Density functional theory data (GGA+U) for a relaxed Na2FeF8 crystal.

Cell lengths 6.144, 6.144, 6.173 Å; angles 119.43, 119.43, 59.99 degrees
Sites, in units of the cell vectors:
Na  0.203  0.203  0.288
Na  0.797  0.797  0.712
Fe  0.000  0.000  0.500
F  0.061  0.061  0.843
F  0.066  0.651  0.431
F  0.349  0.934  0.569
F  0.497  0.497  0.881
F  0.503  0.503  0.119
F  0.651  0.066  0.431
F  0.934  0.349  0.569
F  0.939  0.939  0.157

Properties
Density in kg/m³: 2536
SG: C2/m, No. 12
Electronic total energy in eV per atom: -3.97
Total moment in μB per atom: 0.18